No. 1
The following is a PBE calculation of a geometry-optimized BaCaMo2 structure, from Alexandria.

The structure in CIF format:
```
data_BaCaMo2
_space_group_name_H-M_alt 'P 1'
_space_group_IT_number 1
_space_group_name_Hall 'P 1'
_cell_length_a 6.1224
_cell_length_b 6.1224
_cell_length_c 6.1224
_cell_angle_alpha 140.56
_cell_angle_beta 140.56
_cell_angle_gamma 57.01
loop_
_atom_site_label
_atom_site_type_symbol
_atom_site_fract_x
_atom_site_fract_y
_atom_site_fract_z
_atom_site_occupancy
Mo1 Mo 0.0000 0.0000 0.0000 1
Mo2 Mo 0.5000 0.5000 0.0000 1
Ba1 Ba 0.2500 0.7500 0.5000 1
Ca1 Ca 0.7500 0.2500 0.5000 1
```

ΔH_f (0 K) = 28.66 kcal/mol of atoms
ρ = 6676 kg/m³
DOS(E_F) = 4.2 states/eV/cell
Calculated total energy = -20.6 eV/f.u.

---

No. 2
The following is a PBE calculation of a geometry-optimized BaCaMo2 structure, from Alexandria.

The structure in CIF format:
```
data_BaCaMo2
_space_group_name_H-M_alt 'P 1'
_space_group_IT_number 1
_space_group_name_Hall 'P 1'
_cell_length_a 4.4893
_cell_length_b 4.4893
_cell_length_c 8.7787
_cell_angle_alpha 85.01
_cell_angle_beta 85.01
_cell_angle_gamma 45.59
loop_
_atom_site_label
_atom_site_type_symbol
_atom_site_fract_x
_atom_site_fract_y
_atom_site_fract_z
_atom_site_occupancy
Mo1 Mo 0.0164 0.0164 0.9202 1
Mo2 Mo 0.7274 0.7274 0.8506 1
Ba1 Ba 0.4849 0.4849 0.5754 1
Ca1 Ca 0.2713 0.2713 0.1538 1
```

ΔH_f (0 K) = 15.81 kcal/mol of atoms
ρ = 4874 kg/m³
DOS(E_F) = 4.6 states/eV/cell
Calculated total energy = -22.8 eV/f.u.

---

No. 3
The following is a PBE calculation of a geometry-optimized BaCa2Mo structure, from Alexandria.

The structure in CIF format:
```
data_BaCa2Mo
_space_group_name_H-M_alt 'P 1'
_space_group_IT_number 1
_space_group_name_Hall 'P 1'
_cell_length_a 7.1645
_cell_length_b 7.1645
_cell_length_c 7.1645
_cell_angle_alpha 148.94
_cell_angle_beta 129.84
_cell_angle_gamma 60.18
loop_
_atom_site_label
_atom_site_type_symbol
_atom_site_fract_x
_atom_site_fract_y
_atom_site_fract_z
_atom_site_occupancy
Ba1 Ba 0.2500 0.7500 0.5000 1
Ca1 Ca 0.9492 0.9492 0.0000 1
Ca2 Ca 0.5508 0.5508 0.0000 1
Mo1 Mo 0.7500 0.2500 0.5000 1
```

ΔH_f (0 K) = 16.34 kcal/mol of atoms
ρ = 3603 kg/m³
DOS(E_F) = 3.5 states/eV/cell
Calculated total energy = -13.9 eV/f.u.